1.
A relaxed AcMg2SiPd4 crystal, computed with PBE-GGA.

Cell: 9.399 9.399 9.399 Å, 27.20 27.20 27.20°
Fractional positions:
Ac 0.000 0.000 0.000
Mg 0.235 0.235 0.235
Mg 0.765 0.765 0.765
Si 0.500 0.500 0.500
Pd 0.137 0.137 0.137
Pd 0.408 0.408 0.408
Pd 0.592 0.592 0.592
Pd 0.863 0.863 0.863

Output
raw formation energy	-0.67	eV/atom
VASP energy	-4.860	eV/atom



2.
A relaxed Ac2MgSiPd6 crystal, computed with PBE-GGA.

Cell: 5.723 6.532 7.043 Å, 75.65 66.19 64.18°
Fractional positions:
Ac 0.246 0.223 0.286
Ac 0.754 0.777 0.714
Mg 0.500 0.500 0.500
Si 0.000 0.000 0.000
Pd 0.245 0.238 0.773
Pd 0.248 0.613 0.888
Pd 0.259 0.761 0.225
Pd 0.741 0.239 0.775
Pd 0.752 0.387 0.112
Pd 0.755 0.762 0.227

Output
raw formation energy	-0.73	eV/atom
VASP energy	-5.367	eV/atom



3.
A relaxed Ac2MgSi4Pd3 crystal, computed with PBE-GGA.

Cell: 4.376 4.376 10.531 Å, 90.00 90.00 90.00°
Fractional positions:
Ac 0.000 0.500 0.242
Ac 0.500 0.000 0.758
Mg 0.000 0.000 0.500
Si 0.000 0.000 0.000
Si 0.000 0.500 0.644
Si 0.500 0.000 0.356
Si 0.500 0.500 0.000
Pd 0.000 0.500 0.886
Pd 0.500 0.000 0.114
Pd 0.500 0.500 0.500

Output
raw formation energy	-0.75	eV/atom
VASP energy	-5.461	eV/atom



4.
A relaxed Ac3MgSi2Pd9 crystal, computed with PBE-GGA.

Cell: 6.132 6.132 10.158 Å, 90.00 90.00 120.00°
Fractional positions:
Ac 0.000 0.000 0.000
Ac 0.333 0.667 0.673
Ac 0.667 0.333 0.327
Mg 0.000 0.000 0.500
Si 0.333 0.667 0.160
Si 0.667 0.333 0.840
Pd 0.000 0.500 0.000
Pd 0.154 0.308 0.295
Pd 0.154 0.846 0.295
Pd 0.308 0.154 0.705
Pd 0.500 0.000 0.000
Pd 0.500 0.500 0.000
Pd 0.692 0.846 0.295
Pd 0.846 0.154 0.705
Pd 0.846 0.692 0.705

Output
raw formation energy	-0.69	eV/atom
VASP energy	-5.458	eV/atom